[1]
Compound: Sm2Er2Al3
Source: OQMD
Functional: PBE
Structure: optimized geometry

Values from the calculation:
* space-group type: C2/m
* ρ: 6.13 Mg/m³
* calculated total energy: -4.44 eV per atom

Cell and atoms, written as extended XYZ:
```
7
Lattice="-7.2194 -4.9869 -0.9504 -5.3530 -6.7328 1.9764 -2.5002 3.6525 3.7731" Properties=species:S:1:pos:R:3 pbc="T T T"
Al 0.0000 0.0000 0.0000
Al -3.7778 -1.3722 1.5904
Al -11.2947 -6.6950 3.2087
Er -10.8297 -9.2825 1.3686
Er -4.2428 1.2153 3.4305
Sm -8.2791 -5.6107 1.9325
Sm -6.7934 -2.4566 2.8666
```

[2]
Compound: Er2AlSn
Source: OQMD
Functional: PBE
Structure: optimized geometry

Values from the calculation:
* space-group type: Amm2
* ρ: 7.77 Mg/m³
* calculated total energy: -4.79 eV per atom

Cell and atoms, written as extended XYZ:
```
4
Lattice="-2.5502 0.1740 3.2746 4.7084 -0.2153 3.6782 3.6268 3.9700 2.6135" Properties=species:S:1:pos:R:3 pbc="T T T"
Al 6.3528 3.5230 7.3951
Er 3.0272 1.3636 2.2850
Er 4.0664 2.4931 5.6692
Sn 0.6738 0.3035 0.5086
```

[3]
Compound: SrErAl
Source: OQMD
Functional: PBE
Structure: optimized geometry

Values from the calculation:
* space-group type: F-43m
* ρ: 4.43 Mg/m³
* calculated total energy: -3.22 eV per atom

Cell and atoms, written as extended XYZ:
```
3
Lattice="-2.8158 -3.4714 2.8567 -3.9233 -2.7473 -2.2803 0.5554 -5.2061 -0.8535" Properties=species:S:1:pos:R:3 pbc="T T T"
Al 0.0000 0.0000 0.0000
Er -1.5459 -2.8562 -0.0693
Sr -4.6378 -8.5686 -0.2078
```

[4]
Compound: Tb2Er2Al
Source: OQMD
Functional: PBE
Structure: optimized geometry

Values from the calculation:
* space-group type: Immm
* ρ: 7.62 Mg/m³
* calculated total energy: -4.46 eV per atom

Cell and atoms, written as extended XYZ:
```
5
Lattice="-1.8109 3.9567 5.1678 1.8109 -3.9567 5.1678 1.8109 3.9567 -5.1678" Properties=species:S:1:pos:R:3 pbc="T T T"
Al 0.0000 0.0000 0.0000
Er 0.0000 1.5781 5.1678
Er 1.8109 2.3787 0.0000
Tb 0.0000 3.9567 2.6040
Tb 1.8109 0.0000 2.5637
```

[5]
Compound: Tb2Er2Al3
Source: OQMD
Functional: PBE
Structure: optimized geometry

Values from the calculation:
* space-group type: C2/m
* ρ: 6.76 Mg/m³
* calculated total energy: -4.41 eV per atom

Cell and atoms, written as extended XYZ:
```
7
Lattice="5.9634 -2.4890 0.0000 5.9634 2.4890 0.0000 -2.5651 0.0000 6.0647" Properties=species:S:1:pos:R:3 pbc="T T T"
Al 8.9092 0.0000 1.0182
Al -1.2826 0.0000 3.0323
Al 0.4524 0.0000 5.0465
Er 1.4037 0.0000 1.8026
Er 7.9580 0.0000 4.2621
Tb 4.8824 0.0000 1.3309
Tb 4.4793 0.0000 4.7338
```

[6]
Compound: ErAlTc
Source: OQMD
Functional: PBE
Structure: optimized geometry

Values from the calculation:
* space-group type: F-43m
* offset from the most stable computed form: 746.5 meV/atom
* ρ: 7.01 Mg/m³
* calculated total energy: -5.24 eV per atom

Cell and atoms, written as extended XYZ:
```
3
Lattice="2.7169 -3.6216 0.8613 -0.8480 -4.0507 -2.0278 2.8390 -1.5798 -3.2685" Properties=species:S:1:pos:R:3 pbc="T T T"
Al 1.1770 -2.3130 -1.1088
Er 0.0000 0.0000 0.0000
Tc 3.5309 -6.9391 -3.3263
```

[7]
Compound: ErAlTc
Source: OQMD
Functional: PBE
Structure: optimized geometry

Values from the calculation:
* space-group type: F-43m
* offset from the most stable computed form: 0.0 meV/atom
* ρ: 7.69 Mg/m³
* calculated total energy: -5.99 eV per atom

Cell and atoms, written as extended XYZ:
```
3
Lattice="1.9478 -0.5605 3.9821 0.3772 3.4547 2.8086 -2.4599 0.1274 3.7280" Properties=species:S:1:pos:R:3 pbc="T T T"
Al 0.0000 0.0000 0.0000
Er -0.0337 0.7554 2.6297
Tc -0.1012 2.2661 7.8891
```

[8]
Compound: Er6AlTc2
Source: OQMD
Functional: PBE
Structure: optimized geometry

Values from the calculation:
* space-group type: Immm
* ρ: 9.03 Mg/m³
* calculated total energy: -5.95 eV per atom

Cell and atoms, written as extended XYZ:
```
18
Lattice="-4.6488 4.6852 5.1760 4.6488 -4.6852 5.1760 4.6488 4.6852 -5.1760" Properties=species:S:1:pos:R:3 pbc="T T T"
Al 0.0000 0.0000 0.0000
Al 0.0000 0.0000 5.1760
Er 2.9211 -2.0827 5.1760
Er 1.8471 0.0000 2.5617
Er 1.8471 0.0000 7.7903
Er 0.0000 2.9334 3.4452
Er 0.0000 2.9334 6.9068
Er 1.7277 2.6025 0.0000
Er 2.9211 2.0827 5.1760
Er 4.6488 1.7517 -1.7308
Er 4.6488 1.7517 1.7308
Er 2.8017 4.6852 -2.6143
Er 2.8017 4.6852 2.6143
Er 1.7277 6.7678 0.0000
Tc 2.9290 0.0000 0.0000
Tc 0.0000 4.6852 1.1922
Tc 4.6488 0.0000 3.9838
Tc 6.3686 0.0000 0.0000
```

[9]
Compound: ErAlTlTe3
Source: OQMD
Functional: PBE
Structure: optimized geometry

Values from the calculation:
* space-group type: Cmcm
* ρ: 6.66 Mg/m³
* calculated total energy: -4.03 eV per atom

Cell and atoms, written as extended XYZ:
```
12
Lattice="2.2303 -7.6670 0.0000 2.2303 7.6670 0.0000 0.0000 0.0000 11.3920" Properties=species:S:1:pos:R:3 pbc="T T T"
Al 2.2303 -0.4689 2.8480
Al 2.2303 0.4689 8.5440
Er 0.0000 0.0000 0.0000
Er 0.0000 0.0000 5.6960
Te 2.2303 -2.0440 0.6572
Te 2.2303 -6.4932 2.8480
Te 2.2303 -2.0440 5.0388
Te 2.2303 2.0440 6.3532
Te 2.2303 6.4932 8.5440
Te 2.2303 2.0440 10.7348
Tl 2.2303 4.0480 2.8480
Tl 2.2303 -4.0480 8.5440
```

[10]
Compound: ErThAl
Source: OQMD
Functional: PBE
Structure: optimized geometry

Values from the calculation:
* space-group type: P-6m2
* offset from the most stable computed form: 86.6 meV/atom
* ρ: 9.15 Mg/m³
* calculated total energy: -5.10 eV per atom

Cell and atoms, written as extended XYZ:
```
9
Lattice="-3.5556 -2.9854 -2.5489 3.4440 -2.2511 3.3351 -6.1714 1.2110 7.1904" Properties=species:S:1:pos:R:3 pbc="T T T"
Al 0.0000 0.0000 0.0000
Al -2.0655 0.4053 2.4065
Al -4.1059 0.8057 4.7838
Er -2.2048 -2.5479 0.5571
Er -1.9749 -1.8904 4.9689
Er -6.4113 -1.7224 5.4581
Th 0.0535 -2.2884 2.6056
Th -4.3081 -2.1352 3.0076
Th -4.0033 -1.4924 7.3323
```

[11]
Compound: ErThAl
Source: OQMD
Functional: PBE
Structure: optimized geometry

Values from the calculation:
* space-group type: F-43m
* offset from the most stable computed form: 0.0 meV/atom
* ρ: 7.82 Mg/m³
* calculated total energy: -5.19 eV per atom

Cell and atoms, written as extended XYZ:
```
3
Lattice="0.0000 3.5639 3.5639 3.5639 0.0000 3.5639 3.5639 3.5639 0.0000" Properties=species:S:1:pos:R:3 pbc="T T T"
Al 0.0000 0.0000 0.0000
Er 1.7820 1.7820 1.7820
Th 5.3459 5.3459 5.3459
```

[12]
Compound: ErAlTl
Source: OQMD
Functional: PBE
Structure: optimized geometry

Values from the calculation:
* space-group type: F-43m
* offset from the most stable computed form: 433.5 meV/atom
* ρ: 7.74 Mg/m³
* calculated total energy: -3.39 eV per atom

Cell and atoms, written as extended XYZ:
```
3
Lattice="-1.2748 -0.2274 4.7719 -4.3247 1.8730 1.4956 -3.6356 -3.0229 1.4463" Properties=species:S:1:pos:R:3 pbc="T T T"
Al -2.3088 -0.3443 1.9284
Er 0.0000 0.0000 0.0000
Tl -6.9263 -1.0330 5.7853
```

[13]
Compound: ErAlTl
Source: OQMD
Functional: PBE
Structure: optimized geometry

Values from the calculation:
* space-group type: Cmmm
* offset from the most stable computed form: 0.0 meV/atom
* ρ: 9.20 Mg/m³
* calculated total energy: -3.83 eV per atom

Cell and atoms, written as extended XYZ:
```
6
Lattice="6.7831 1.8748 -2.2204 -7.0287 2.1932 0.4920 0.8579 1.8174 4.1553" Properties=species:S:1:pos:R:3 pbc="T T T"
Al 4.1668 1.9351 -1.7066
Al -4.4124 2.1329 -0.0218
Er 2.5019 2.8921 0.7822
Er -1.8897 2.9933 1.6446
Tl -0.1228 2.0340 -0.8642
Tl 0.4289 0.9087 2.0777
```